Crystalline Cd2SiSb at its relaxed geometry. Source: the Alexandria database, functional PBE-GGA.

Energy relative to the elements, uncorrected, eV per atom: 0.233
ρ, g cm⁻³: 6.6
Polymorph energy (0 for the lowest one), meV/atom: 0.0

Cell: 3.9662 3.9662 8.2655 Å, 82.91 82.91 47.32°
Last column: nearest neighbours and their distance in Å.
Atoms (fractional coordinates):
Sb  0.5064  0.5064  0.4680  3 Si 2.72-2.86
Si  0.2566  0.2566  0.2513  3 Sb 2.72-2.86, 3 Cd 2.84-2.89
Cd  0.7381  0.7381  0.7587  5 Cd 3.04-3.18, 3 Sb 3.11-3.29
Cd  0.9989  0.9989  0.0220  3 Si 2.84-2.89, 3 Cd 3.04-3.07